The following is a DFT calculation (GGA-PBE) of Ti6NiPt3 after structural relaxation.

a = 4.826 Å, b = 7.979 Å, c = 9.749 Å
α = 90.00°, β = 118.45°, γ = 90.00°
Fractional positions:
1 Ti 0.004 0.185 0.442
2 Ti 0.004 0.315 0.942
3 Ti 0.355 0.125 0.240
4 Ti 0.355 0.375 0.740
5 Ti 0.384 0.674 0.454
6 Ti 0.384 0.826 0.954
7 Ti 0.616 0.174 0.046
8 Ti 0.616 0.326 0.546
9 Ti 0.645 0.625 0.260
10 Ti 0.645 0.875 0.760
11 Ti 0.996 0.685 0.058
12 Ti 0.996 0.815 0.558
13 Ni 0.000 0.000 0.000
14 Ni 0.000 0.500 0.500
15 Pt 0.091 0.092 0.754
16 Pt 0.091 0.408 0.254
17 Pt 0.500 0.000 0.500
18 Pt 0.500 0.500 0.000
19 Pt 0.909 0.592 0.746
20 Pt 0.909 0.908 0.246

* SG: P2_1/c, No. 14
* volume: 330.1 Å³/cell
* total moment: 0.0 μB/f.u.
* E_form: -455 meV per atom